#a
Material: KNaIn2Pt
Method: DFT, PBE
State: optimized geometry

Cell: 5.2096 5.2096 5.7051 Å, 90.00 90.00 90.00°
With the nearest neighbours (Å) after each atom.
Space group P4/mmm (No. 123)
One atom of each set of equivalent atoms:
K1 0.0000 0.0000 0.0000 (multiplicity 1)  4 Na 3.68, 8 In 3.86
Na1 0.5000 0.5000 0.0000 (multiplicity 1)  2 Pt 2.85
In1 0.0000 0.5000 0.5000 (multiplicity 2)  2 Pt 2.60
Pt1 0.5000 0.5000 0.5000 (multiplicity 1)  4 In 2.60, 2 Na 2.85

#b
Material: KNaIn2Pt
Method: DFT, PBE
State: optimized geometry

Cell: 5.2635 5.2635 6.2106 Å, 90.00 90.00 90.00°
With the nearest neighbours (Å) after each atom.
Space group P4/mmm (No. 123)
One atom of each set of equivalent atoms:
K1 0.0000 0.0000 0.0000 (multiplicity 1)  2 Pt 3.11
Na1 0.5000 0.5000 0.0000 (multiplicity 1)  4 K 3.72, 8 In 4.07
In1 0.0000 0.5000 0.5000 (multiplicity 2)  2 Pt 2.63
Pt1 0.0000 0.0000 0.5000 (multiplicity 1)  4 In 2.63

The most stable of them is #a.

#a
Material: KRb2NaIn
Method: DFT, PBE
State: optimized geometry

Cell: 7.2315 7.2315 6.2343 Å, 90.00 90.00 90.00°
With the nearest neighbours (Å) after each atom.
Space group P4/mmm (No. 123)
One atom of each set of equivalent atoms:
K1 0.0000 0.0000 0.0000 (multiplicity 1)  8 Rb 4.77, 4 Na 5.11
Rb1 0.0000 0.5000 0.5000 (multiplicity 2)  2 In 3.62
Na1 0.5000 0.5000 0.0000 (multiplicity 1)  2 In 3.12
In1 0.5000 0.5000 0.5000 (multiplicity 1)  2 Na 3.12

#b
Material: KRb2NaIn
Method: DFT, PBE
State: optimized geometry

Cell: 7.0924 7.0924 6.8296 Å, 90.00 90.00 90.00°
With the nearest neighbours (Å) after each atom.
Space group P4/mmm (No. 123)
One atom of each set of equivalent atoms:
K1 0.0000 0.0000 0.0000 (multiplicity 1)  2 Na 3.41
Rb1 0.0000 0.5000 0.5000 (multiplicity 2)  2 Na 3.55
Na1 0.0000 0.0000 0.5000 (multiplicity 1)  2 K 3.41, 4 Rb 3.55
In1 0.5000 0.5000 0.0000 (multiplicity 1)  8 Rb 4.92, 4 K 5.02

The most stable of them is #a.

#a
Material: KNa2ZnIn
Method: DFT, PBE
State: optimized geometry

Cell: 6.0590 6.0590 5.1017 Å, 90.00 90.00 90.00°
With the nearest neighbours (Å) after each atom.
Space group P4/mmm (No. 123)
One atom of each set of equivalent atoms:
K1 0.0000 0.0000 0.0000 (multiplicity 1)  8 Na 3.96, 4 Zn 4.28
Na1 0.0000 0.5000 0.5000 (multiplicity 2)  2 In 3.03
Zn1 0.5000 0.5000 0.0000 (multiplicity 1)  2 In 2.55
In1 0.5000 0.5000 0.5000 (multiplicity 1)  2 Zn 2.55

#b
Material: KNa2ZnIn
Method: DFT, PBE
State: optimized geometry

Cell: 5.8228 5.8228 5.1119 Å, 90.00 90.00 90.00°
With the nearest neighbours (Å) after each atom.
Space group P4/mmm (No. 123)
One atom of each set of equivalent atoms:
K1 0.0000 0.0000 0.0000 (multiplicity 1)  8 Na 3.87, 4 In 4.12
Na1 0.0000 0.5000 0.5000 (multiplicity 2)  2 Zn 2.91
Zn1 0.5000 0.5000 0.5000 (multiplicity 1)  2 In 2.56
In1 0.5000 0.5000 0.0000 (multiplicity 1)  2 Zn 2.56

The most stable of them is #b.

#a
Material: KNb3In
Method: DFT, PBE
State: optimized geometry

Cell: 5.2457 5.2457 5.2457 Å, 90.00 90.00 90.00°
With the nearest neighbours (Å) after each atom.
Space group Pm-3m (No. 221)
One atom of each set of equivalent atoms:
K1 0.0000 0.0000 0.0000 (multiplicity 1)  12 Nb 3.71
Nb1 0.0000 0.5000 0.5000 (multiplicity 3)  2 In 2.62
In1 0.5000 0.5000 0.5000 (multiplicity 1)  6 Nb 2.62

#b
Material: KNb3In
Method: DFT, PBE
State: optimized geometry

Cell: 4.6836 4.6836 4.6836 Å, 90.00 90.00 90.00°
With the nearest neighbours (Å) after each atom.
Space group Pm-3m (No. 221)
One atom of each set of equivalent atoms:
K1 0.0000 0.0000 0.0000 (multiplicity 1)  6 Nb 2.34
Nb1 0.0000 0.0000 0.5000 (multiplicity 3)  2 K 2.34
In1 0.5000 0.5000 0.5000 (multiplicity 1)  12 Nb 3.31

The most stable of them is #a.

#a
Material: KNbIn3
Method: DFT, PBE
State: optimized geometry

Cell: 5.5014 5.5014 5.5014 Å, 90.00 90.00 90.00°
With the nearest neighbours (Å) after each atom.
Space group Pm-3m (No. 221)
One atom of each set of equivalent atoms:
K1 0.0000 0.0000 0.0000 (multiplicity 1)  12 In 3.89
Nb1 0.5000 0.5000 0.5000 (multiplicity 1)  6 In 2.75
In1 0.0000 0.5000 0.5000 (multiplicity 3)  2 Nb 2.75

#b
Material: KNbIn3
Method: DFT, PBE
State: optimized geometry

Cell: 5.5157 5.5157 5.5157 Å, 90.00 90.00 90.00°
With the nearest neighbours (Å) after each atom.
Space group Pm-3m (No. 221)
One atom of each set of equivalent atoms:
K1 0.0000 0.0000 0.0000 (multiplicity 1)  6 In 2.76
Nb1 0.5000 0.5000 0.5000 (multiplicity 1)  12 In 3.90
In1 0.0000 0.0000 0.5000 (multiplicity 3)  2 K 2.76

The most stable of them is #a.

#a
Material: KIn3Ni
Method: DFT, PBE
State: optimized geometry

Cell: 5.1121 5.1121 5.1121 Å, 90.00 90.00 90.00°
With the nearest neighbours (Å) after each atom.
Space group Pm-3m (No. 221)
One atom of each set of equivalent atoms:
K1 0.0000 0.0000 0.0000 (multiplicity 1)  12 In 3.61
In1 0.0000 0.5000 0.5000 (multiplicity 3)  2 Ni 2.56
Ni1 0.5000 0.5000 0.5000 (multiplicity 1)  6 In 2.56

#b
Material: KIn3Ni
Method: DFT, PBE
State: optimized geometry

Cell: 5.9999 5.9999 5.9999 Å, 90.00 90.00 90.00°
With the nearest neighbours (Å) after each atom.
Space group Pm-3m (No. 221)
One atom of each set of equivalent atoms:
K1 0.0000 0.0000 0.0000 (multiplicity 1)  6 In 3.00
In1 0.0000 0.0000 0.5000 (multiplicity 3)  2 K 3.00
Ni1 0.5000 0.5000 0.5000 (multiplicity 1)  12 In 4.24

The most stable of them is #a.

#a
Material: K2InNi2
Method: DFT, PBE
State: optimized geometry

Cell: 6.6306 6.6306 5.5855 Å, 90.00 90.00 90.00°
With the nearest neighbours (Å) after each atom.
Space group P4/mbm (No. 127)
One atom of each set of equivalent atoms:
K1 0.1791 0.3209 0.0000 (multiplicity 4)  6 Ni 3.35-3.46, 5 K 3.36-3.45, 4 In 3.71
In1 0.0000 0.0000 0.5000 (multiplicity 2)  4 Ni 2.63
Ni1 0.1238 0.6238 0.5000 (multiplicity 4)  1 Ni 2.32

#b
Material: K2InNi2
Method: DFT, PBE
State: optimized geometry

Cell: 9.3862 9.3862 2.8730 Å, 90.00 90.00 90.00°
With the nearest neighbours (Å) after each atom.
Space group P4/mbm (No. 127)
One atom of each set of equivalent atoms:
K1 0.1293 0.3707 0.0000 (multiplicity 4)  2 K 2.87, 6 Ni 2.99-3.21
In1 0.0000 0.0000 0.0000 (multiplicity 2)  2 In 2.87
Ni1 0.1735 0.6735 0.5000 (multiplicity 4)  2 Ni 2.87, 6 K 2.99-3.21

#c
Material: K2InNi2
Method: DFT, PBE
State: optimized geometry

Cell: 4.2919 4.2919 13.7681 Å, 90.00 90.00 90.00°
With the nearest neighbours (Å) after each atom.
Space group I4/mmm (No. 139)
One atom of each set of equivalent atoms:
K1 0.0000 0.5000 0.2500 (multiplicity 4)  4 K 3.03, 4 Ni 3.18
In1 0.0000 0.0000 0.0000 (multiplicity 2)  8 Ni 3.23
Ni1 0.0000 0.0000 0.4204 (multiplicity 4)  1 Ni 2.19

#d
Material: K2InNi2
Method: DFT, PBE
State: optimized geometry

Cell: 3.3383 3.3383 23.3381 Å, 90.00 90.00 90.00°
With the nearest neighbours (Å) after each atom.
Space group I4/mmm (No. 139)
One atom of each set of equivalent atoms:
K1 0.0000 0.0000 0.1303 (multiplicity 4)  4 Ni 3.25, 4 K 3.34
In1 0.0000 0.0000 0.5000 (multiplicity 2)  4 In 3.34
Ni1 0.0000 0.5000 0.2500 (multiplicity 4)  4 Ni 2.36

The most stable of them is #a.

#a
Material: KZrInNi2
Method: DFT, PBE
State: optimized geometry

Cell: 4.9399 4.9399 5.4324 Å, 90.00 90.00 90.00°
With the nearest neighbours (Å) after each atom.
Space group P4/mmm (No. 123)
One atom of each set of equivalent atoms:
K1 0.0000 0.0000 0.0000 (multiplicity 1)  4 Zr 3.49, 8 Ni 3.67
Zr1 0.5000 0.5000 0.0000 (multiplicity 1)  2 In 2.72
In1 0.5000 0.5000 0.5000 (multiplicity 1)  4 Ni 2.47, 2 Zr 2.72
Ni1 0.0000 0.5000 0.5000 (multiplicity 2)  2 In 2.47

#b
Material: KZrInNi2
Method: DFT, PBE
State: optimized geometry

Cell: 4.5772 4.5772 5.0674 Å, 90.00 90.00 90.00°
With the nearest neighbours (Å) after each atom.
Space group P4/mmm (No. 123)
One atom of each set of equivalent atoms:
K1 0.0000 0.0000 0.0000 (multiplicity 1)  4 Ni 2.29, 2 Zr 2.53
Zr1 0.0000 0.0000 0.5000 (multiplicity 1)  2 K 2.53
In1 0.5000 0.5000 0.5000 (multiplicity 1)  4 Zr 3.24, 8 Ni 3.41
Ni1 0.0000 0.5000 0.0000 (multiplicity 2)  2 K 2.29

The most stable of them is #a.

#a
Material: K3InO3
Method: DFT, PBE
State: optimized geometry

Cell: 7.4879 6.9675 11.2663 Å, 90.00 93.30 90.00°
With the nearest neighbours (Å) after each atom.
Space group P2_1/c (No. 14)
One atom of each set of equivalent atoms:
K1 0.0728 0.1277 0.1595 (multiplicity 4)  3 O 2.71-2.83
K2 0.3589 0.1716 0.9200 (multiplicity 4)  4 O 2.64-2.86
K3 0.3724 0.7031 0.8126 (multiplicity 4)  3 O 2.59-2.82
In1 0.1633 0.5935 0.0688 (multiplicity 4)  4 O 2.05-2.17
O1 0.1152 0.0428 0.3977 (multiplicity 4)  2 In 2.16-2.17
O2 0.2621 0.6352 0.5418 (multiplicity 4)  1 In 2.06
O3 0.3096 0.0582 0.6970 (multiplicity 4)  1 In 2.05

#b
Material: K3InO3
Method: DFT, PBE
State: optimized geometry

Cell: 8.4521 14.6183 5.5666 Å, 90.00 90.00 90.00°
With the nearest neighbours (Å) after each atom.
Space group Cmcm (No. 63)
One atom of each set of equivalent atoms:
K1 0.0000 0.1657 0.2500 (multiplicity 4)  4 O 2.67-2.81
K2 0.2495 0.0829 0.7500 (multiplicity 8)  4 O 2.66-2.81
In1 0.0000 0.3331 0.7500 (multiplicity 4)  3 O 2.03
O1 0.0000 0.1944 0.7500 (multiplicity 4)  1 In 2.03
O2 0.2075 0.4027 0.7500 (multiplicity 8)  1 In 2.03

The most stable of them is #a.

#a
Material: K2InO
Method: DFT, PBE
State: optimized geometry

Cell: 3.4368 10.2511 3.7532 Å, 90.00 116.72 90.00°
With the nearest neighbours (Å) after each atom.
Space group Pm (No. 6)
One atom of each set of equivalent atoms:
K1 0.0000 0.1477 0.0000 (multiplicity 2)  3 O 2.59-2.61
In1 0.3191 0.5000 0.6141 (multiplicity 1)  6 In 3.44-3.78
O1 0.3174 0.0000 0.6284 (multiplicity 1)  6 K 2.59-2.61

#b
Material: K2InO
Method: DFT, PBE
State: optimized geometry

Cell: 10.7512 10.7512 4.7771 Å, 90.00 90.00 90.00°
With the nearest neighbours (Å) after each atom.
Space group I-42d (No. 122)
One atom of each set of equivalent atoms:
K1 0.0716 0.7500 0.1250 (multiplicity 8)  2 O 2.86
In1 0.0000 0.0000 0.5000 (multiplicity 4)  2 O 2.39
O1 0.0000 0.0000 0.0000 (multiplicity 4)  2 In 2.39

#c
Material: K2InO
Method: DFT, PBE
State: optimized geometry

Cell: 7.7050 7.7050 7.7050 Å, 90.00 90.00 90.00°
With the nearest neighbours (Å) after each atom.
Space group Fm-3m (No. 225)
One atom of each set of equivalent atoms:
K1 0.2500 0.2500 0.2500 (multiplicity 8)  4 O 3.34, 4 In 3.34
In1 0.0000 0.0000 0.0000 (multiplicity 4)  8 K 3.34
O1 0.0000 0.0000 0.5000 (multiplicity 4)  8 K 3.34

The most stable of them is #a.